VASP calculation (GGA-PBEsol) on an optimized crystal structure of Co2IrSBr.

The volume comes out at 99 Å³/cell. The formation energy without anion corrections is 0.92 eV/atom. The crystal system is tetragonal.

a = 4.227 Å, b = 4.840 Å, c = 4.840 Å
α = 90.00°, β = 90.00°, γ = 90.00°
Site moments in Bohr magnetons follow the coordinates.
Atoms (fractional coordinates):
Ir  0.000  0.000  0.000  0.38
Co  0.000  0.500  0.000  2.23
Co  0.000  0.000  0.500  2.23
Br  0.500  0.500  0.500  0.17
S  0.500  0.000  0.000  0.01